# 1
# DyUTe3Pd

An optimized crystal structure of DyUTe3Pd (PBE-GGA, the Alexandria database).

Computed properties:
Space group   P2_1/m (11)
Formation energy without anion corrections   -0.897 eV/atom

a b c (Å): 4.152 8.296 9.985
angles (deg): 100.18 90.00 90.00
Last column: magnetic moment on the atom in μB.
Positions (direct):
Te 0.750 0.925 0.136  -0.04
Te 0.750 0.278 0.516  -0.04
Te 0.250 0.602 0.852  -0.03
Dy 0.750 0.326 0.820  0.02
Pd 0.750 0.918 0.408  -0.04
U 0.250 0.176 0.284  2.65
Dy 0.250 0.674 0.180  0.02
Te 0.250 0.075 0.864  -0.04
U 0.750 0.824 0.716  2.65
Te 0.250 0.722 0.484  -0.04
Pd 0.250 0.082 0.592  -0.04
Te 0.750 0.398 0.148  -0.03

---

# 2
# DyThPd

An optimized crystal structure of DyThPd (PBE-GGA, the Alexandria database).

Computed properties:
ΔE_f   -0.286 eV/atom
Space group   F-43m (216)
Energy above the lowest structure with this stoichiometry   177 meV per atom

a b c (Å): 4.961 4.961 4.961
angles (deg): 60.00 60.00 60.00
Positions (direct):
Pd 0.250 0.250 0.250
Th 0.500 0.500 0.500
Dy 0.000 0.000 0.000

---

| no. | density of states at the Fermi level (states/eV/atom) | electronic total energy (eV per cell) |
| --- | --- | --- |
| 1 | 1.19 | -71.78 |
| 2 | 1.32 | -18.07 |